Arrangement one

# PrB4Rh6

A geometry-optimized PrB4Rh6 structure (GGA-PBE, Alexandria via LeMat-Bulk).

Values from the calculation:
As for the crystal system: tetragonal. The value obtained for the total magnetization is 0.0 Bohr magnetons per cell. As for the space group: I-42m.

Cell lengths 5.8221, 5.8221, 5.8221 Å; angles 120.54, 120.54, 89.07 degrees
Last column: nearest neighbours and their distance in Å.
Fractional positions:
Pr1 0.0000 0.0000 0.0000  12 Rh 2.85-3.11, 4 B 2.96
B1 0.2807 0.5721 0.0000  2 B 2.08, 5 Rh 2.21-2.30
B2 0.4279 0.4279 0.7086  2 B 2.08, 5 Rh 2.21-2.30
B3 0.5721 0.2807 0.0000  2 B 2.08, 5 Rh 2.21-2.30
B4 0.7193 0.7193 0.2914  2 B 2.08, 5 Rh 2.21-2.30
Rh1 0.0000 0.5000 0.5000  4 B 2.30
Rh2 0.1093 0.1093 0.6331  4 B 2.21-2.35
Rh3 0.4762 0.4762 0.3669  4 B 2.21-2.35
Rh4 0.5000 0.0000 0.5000  4 B 2.30
Rh5 0.5238 0.8907 0.0000  4 B 2.21-2.35
Rh6 0.8907 0.5238 0.0000  4 B 2.21-2.35

Arrangement two

# PrB4Rh6

A geometry-optimized PrB4Rh6 structure (GGA-PBE, Alexandria via LeMat-Bulk).

Values from the calculation:
As for the crystal system: hexagonal. The value obtained for the total magnetization is 0.0 Bohr magnetons per cell. As for the space group: P-6m2.

Cell lengths 6.7598, 6.7598, 3.4685 Å; angles 90.00, 90.00, 120.00 degrees
Last column: nearest neighbours and their distance in Å.
Fractional positions:
Pr1 0.0000 0.0000 0.0000  6 Rh 2.91, 6 B 3.01
B1 0.3333 0.6667 0.0000  9 Rh 2.34-2.38
B2 0.4198 0.2099 0.5000  6 Rh 2.28-2.40, 2 B 2.50
B3 0.7901 0.2099 0.5000  6 Rh 2.28-2.40, 2 B 2.50
B4 0.7901 0.5802 0.5000  6 Rh 2.28-2.40, 2 B 2.50
Rh1 0.1996 0.3991 0.5000  4 B 2.34-2.40
Rh2 0.1996 0.8004 0.5000  4 B 2.34-2.40
Rh3 0.5366 0.0732 0.0000  5 B 2.28-2.38
Rh4 0.5366 0.4634 0.0000  5 B 2.28-2.38
Rh5 0.6009 0.8004 0.5000  4 B 2.34-2.40
Rh6 0.9268 0.4634 0.0000  5 B 2.28-2.38

Stability check: which of them is most stable? arrangement two.